The following is a PBE calculation of NbIrPd after structural relaxation, from the Alexandria database.

Lattice parameters (Å, degrees): 2.8362 2.8362 11.8778 90.00 90.00 90.00
With the nearest neighbours (Å) after each atom.
Space group I4mm (No. 107)
Unique sites:
Nb 0.0000 0.0000 0.0000 x2  4 Ir 2.74, 4 Nb 2.84, 4 Pd 2.86
Ir 0.0000 0.0000 0.6572 x2  4 Nb 2.74, 4 Ir 2.84, 4 Pd 2.86
Pd 0.0000 0.0000 0.3283 x2  4 Pd 2.84, 4 Ir 2.86, 4 Nb 2.86

## Properties
ΔE_f = -0.30 eV per atom
ρ = 13610 kg/m3
offset from the most stable computed form = 0.128 eV/atom